A geometry-optimized GaFeSbI2 structure. Source: Alexandria via LeMat-Bulk, functional PBE-GGA.

Unit cell a=5.685 b=5.685 c=4.900 alpha=90.00 beta=90.00 gamma=90.00
Element x y z (fractional)
Ga 0.000 0.000 0.000
Fe 0.500 0.500 0.500
Sb 0.500 0.500 0.000
I 0.000 0.500 0.500
I 0.500 0.000 0.500

Computed properties:
- excess energy over the best structure of this formula in the dataset (kJ/mol of atoms) = 0.00
- energy relative to the elements, uncorrected (eV/f.u.) = 1.512
- final energy (eV per atom) = -3.4400
- N(E_F) (states/eV/atom) = 1.15

A geometry-optimized Hf2NbIn structure. Source: Alexandria via LeMat-Bulk, functional PBE-GGA.

Unit cell a=9.954 b=9.954 c=9.954 alpha=18.52 beta=18.52 gamma=18.52
Element x y z (fractional)
Hf 0.246 0.246 0.246
Hf 0.754 0.754 0.754
Nb 0.500 0.500 0.500
In 0.000 0.000 0.000

Computed properties:
- formation enthalpy at 0 K (meV per atom) = 37
- final energy (eV per atom) = -8.1418
- N(E_F) (states/eV/atom) = 0.92

A geometry-optimized Be2CoB2 structure. Source: Alexandria via LeMat-Bulk, functional PBE-GGA.

Unit cell a=5.242 b=5.242 c=2.710 alpha=90.00 beta=90.00 gamma=90.00
Element x y z (fractional)
Be 0.181 0.319 0.000
Be 0.319 0.819 0.000
Be 0.681 0.181 0.000
Be 0.819 0.681 0.000
Co 0.000 0.000 0.500
Co 0.500 0.500 0.500
B 0.113 0.613 0.500
B 0.387 0.113 0.500
B 0.613 0.887 0.500
B 0.887 0.387 0.500

Computed properties:
- excess energy over the best structure of this formula in the dataset (kJ/mol of atoms) = 0.00
- formation enthalpy at 0 K (meV per atom) = -105
- final energy (eV per atom) = -5.6874
- N(E_F) (states/eV/atom) = 0.28

A geometry-optimized LiPPd6 structure. Source: Alexandria via LeMat-Bulk, functional PBE-GGA.

Unit cell a=5.396 b=5.454 c=5.531 alpha=63.10 beta=65.30 gamma=64.68
Element x y z (fractional)
Li 0.000 0.000 0.000
P 0.500 0.500 0.500
Pd 0.034 0.733 0.491
Pd 0.272 0.515 0.947
Pd 0.486 0.038 0.731
Pd 0.514 0.962 0.269
Pd 0.728 0.485 0.053
Pd 0.966 0.267 0.509

Computed properties:
- excess energy over the best structure of this formula in the dataset (kJ/mol of atoms) = 16.39
- formation enthalpy at 0 K (meV per atom) = -200
- final energy (eV per atom) = -5.0102
- N(E_F) (states/eV/atom) = 0.54

A geometry-optimized CoHgTe2 structure. Source: Alexandria via LeMat-Bulk, functional PBE-GGA.

Unit cell a=12.246 b=12.246 c=12.246 alpha=15.19 beta=15.19 gamma=15.19
Element x y z (fractional)
Co 0.000 0.000 0.000
Hg 0.500 0.500 0.500
Te 0.067 0.067 0.067
Te 0.933 0.933 0.933

Computed properties:
- energy relative to the elements, uncorrected (eV/f.u.) = 1.595
- final energy (eV per atom) = -3.0239
- N(E_F) (states/eV/atom) = 0.92

A geometry-optimized Ho8Tl4PS3 structure. Source: Alexandria via LeMat-Bulk, functional PBE-GGA.

Unit cell a=9.046 b=9.046 c=9.046 alpha=50.14 beta=50.14 gamma=50.14
Element x y z (fractional)
Ho 0.234 0.234 0.234
Ho 0.235 0.733 0.733
Ho 0.267 0.267 0.765
Ho 0.267 0.765 0.267
Ho 0.733 0.235 0.733
Ho 0.733 0.733 0.235
Ho 0.765 0.267 0.267
Ho 0.766 0.766 0.766
Tl 0.000 0.000 0.000
Tl 0.000 0.500 0.500
Tl 0.500 0.000 0.500
Tl 0.500 0.500 0.000
P 0.500 0.500 0.500
S 0.000 0.000 0.500
S 0.000 0.500 0.000
S 0.500 0.000 0.000

Computed properties:
- energy relative to the elements, uncorrected (eV/f.u.) = -18.017
- final energy (eV per atom) = -5.1186
- N(E_F) (states/eV/atom) = 0.54

A geometry-optimized Rh2AuS structure. Source: Alexandria via LeMat-Bulk, functional PBE-GGA.

Unit cell a=6.876 b=6.876 c=6.876 alpha=28.41 beta=28.41 gamma=28.41
Element x y z (fractional)
Rh 0.000 0.000 0.000
Rh 0.206 0.206 0.206
Au 0.434 0.434 0.434
S 0.604 0.604 0.604

Computed properties:
- energy relative to the elements, uncorrected (eV/f.u.) = 0.109
- final energy (eV per atom) = -5.4996
- N(E_F) (states/eV/atom) = 0.52

A geometry-optimized NaPmHo2Tl4 structure. Source: Alexandria via LeMat-Bulk, functional PBE-GGA.

Unit cell a=9.423 b=9.423 c=9.423 alpha=32.92 beta=32.92 gamma=32.92
Element x y z (fractional)
Na 0.000 0.000 0.000
Pm 0.500 0.500 0.500
Ho 0.254 0.254 0.254
Ho 0.746 0.746 0.746
Tl 0.123 0.123 0.123
Tl 0.374 0.374 0.374
Tl 0.626 0.626 0.626
Tl 0.877 0.877 0.877

Computed properties:
- formation enthalpy at 0 K (meV per atom) = -291
- final energy (eV per atom) = -3.3768
- N(E_F) (states/eV/atom) = 0.59

A geometry-optimized Mg2Ta2Fe structure. Source: Alexandria via LeMat-Bulk, functional PBE-GGA.

Unit cell a=7.673 b=7.673 c=7.673 alpha=152.24 beta=152.24 gamma=39.67
Element x y z (fractional)
Mg 0.088 0.088 0.000
Mg 0.912 0.912 0.000
Ta 0.250 0.750 0.500
Ta 0.750 0.250 0.500
Fe 0.500 0.500 0.000

Computed properties:
- excess energy over the best structure of this formula in the dataset (kJ/mol of atoms) = 26.11
- formation enthalpy at 0 K (meV per atom) = 1053
- final energy (eV per atom) = -6.0187
- N(E_F) (states/eV/atom) = 1.31

A geometry-optimized PrCd2Hg2 structure. Source: Alexandria via LeMat-Bulk, functional PBE-GGA.

Unit cell a=6.621 b=6.621 c=6.621 alpha=43.89 beta=43.89 gamma=43.89
Element x y z (fractional)
Pr 0.000 0.000 0.000
Cd 0.203 0.203 0.203
Cd 0.797 0.797 0.797
Hg 0.412 0.412 0.412
Hg 0.588 0.588 0.588

Computed properties:
- excess energy over the best structure of this formula in the dataset (kJ/mol of atoms) = 0.00
- formation enthalpy at 0 K (meV per atom) = -298
- final energy (eV per atom) = -1.7402
- N(E_F) (states/eV/atom) = 0.50

A geometry-optimized RbAg2Sn3S8 structure. Source: Alexandria via LeMat-Bulk, functional PBE-GGA.

Unit cell a=9.489 b=9.489 c=9.489 alpha=46.71 beta=46.71 gamma=46.71
Element x y z (fractional)
Rb 0.000 0.000 0.000
Ag 0.157 0.157 0.157
Ag 0.705 0.705 0.705
Sn 0.162 0.649 0.649
Sn 0.649 0.162 0.649
Sn 0.649 0.649 0.162
S 0.381 0.381 0.867
S 0.381 0.867 0.381
S 0.425 0.425 0.425
S 0.438 0.924 0.924
S 0.867 0.381 0.381
S 0.875 0.875 0.875
S 0.924 0.438 0.924
S 0.924 0.924 0.438

Computed properties:
- energy relative to the elements, uncorrected (eV/f.u.) = -4.912
- final energy (eV per atom) = -4.0436
- N(E_F) (states/eV/atom) = 0.41

A geometry-optimized La2Cu12Ni3Hg structure. Source: Alexandria via LeMat-Bulk, functional PBE-GGA.

Unit cell a=7.630 b=7.630 c=7.630 alpha=62.36 beta=62.36 gamma=62.36
Element x y z (fractional)
La 0.109 0.109 0.109
La 0.891 0.891 0.891
Cu 0.104 0.635 0.635
Cu 0.144 0.144 0.605
Cu 0.144 0.605 0.144
Cu 0.365 0.365 0.896
Cu 0.365 0.896 0.365
Cu 0.395 0.856 0.856
Cu 0.605 0.144 0.144
Cu 0.635 0.104 0.635
Cu 0.635 0.635 0.104
Cu 0.856 0.395 0.856
Cu 0.856 0.856 0.395
Cu 0.896 0.365 0.365
Ni 0.000 0.500 0.500
Ni 0.500 0.000 0.500
Ni 0.500 0.500 0.000
Hg 0.500 0.500 0.500

Computed properties:
- formation enthalpy at 0 K (meV per atom) = 455
- final energy (eV per atom) = -3.8034
- N(E_F) (states/eV/atom) = 0.48

Copy entry 10 word for word.
A geometry-optimized PrCd2Hg2 structure. Source: Alexandria via LeMat-Bulk, functional PBE-GGA.

Unit cell a=6.621 b=6.621 c=6.621 alpha=43.89 beta=43.89 gamma=43.89
Element x y z (fractional)
Pr 0.000 0.000 0.000
Cd 0.203 0.203 0.203
Cd 0.797 0.797 0.797
Hg 0.412 0.412 0.412
Hg 0.588 0.588 0.588

Computed properties:
- excess energy over the best structure of this formula in the dataset (kJ/mol of atoms) = 0.00
- formation enthalpy at 0 K (meV per atom) = -298
- final energy (eV per atom) = -1.7402
- N(E_F) (states/eV/atom) = 0.50